Computed, not measured: a relaxed Al2V2F crystal at the PBE+U level of DFT.

Summary:
Distance to the lowest polymorph of the same formula (kJ/mol of atoms): 0.0
Crystal system: tetragonal

a = 7.7021 Å, b = 7.7021 Å, c = 3.0456 Å
α = 90.00°, β = 90.00°, γ = 90.00°
Closest atoms and distances in Å follow each position.
Atoms (fractional coordinates):
V  0.1144  0.6144  0.5000  1 V 2.49, 6 Al 2.70-2.79
V  0.6144  0.8856  0.5000  1 V 2.49, 6 Al 2.70-2.79
V  0.8856  0.3856  0.5000  1 V 2.49, 6 Al 2.70-2.79
V  0.3856  0.1144  0.5000  1 V 2.49, 6 Al 2.70-2.79
Al  0.3187  0.8187  0.0000  6 V 2.70-2.79, 2 F 2.82
Al  0.8187  0.6813  0.0000  6 V 2.70-2.79, 2 F 2.82
Al  0.6813  0.1813  0.0000  6 V 2.70-2.79, 2 F 2.82
Al  0.1813  0.3187  0.0000  6 V 2.70-2.79, 2 F 2.82
F  0.0000  0.0000  0.0000  4 Al 2.82, 2 F 3.05
F  0.5000  0.5000  0.0000  4 Al 2.82, 2 F 3.05